V2PdC: relaxed, GGA-PBE.

Structure (POSCAR):
```
V2PdC
1.0
6.572 0.000 0.000
0.000 6.572 0.000
3.286 3.286 2.336
C Pd V
2 2 4
direct
0.500 0.500 0.000 C
0.250 0.750 0.500 C
0.000 0.000 0.000 Pd
0.750 0.250 0.500 Pd
0.524 0.125 0.250 V
0.226 0.625 0.250 V
0.375 0.476 0.750 V
0.875 0.774 0.750 V
```

Values from the calculation:
* density: 7.25 g/cm3
* space-group type: I-42d (122)
* DFT total energy: -8.0419 eV per atom
* N(E_F): 0.891 states/eV per atom
* calculated formation energy: 0.122 eV per atom